Run A
A relaxed Sr2Mg2Ni crystal. Source: the Alexandria database, functional PBE.

Calculated values
Crystal system: tetragonal

Cell lengths 7.935, 7.935, 7.935 Å; angles 142.91, 142.91, 53.45 degrees
Atoms (fractional coordinates):
Sr 0.250 0.750 0.500
Sr 0.750 0.250 0.500
Mg 0.093 0.093 0.000
Mg 0.907 0.907 0.000
Ni 0.500 0.500 0.000

---

Run B
A relaxed Sr2Mg2Ni crystal. Source: the Alexandria database, functional PBE.

Calculated values
Crystal system: tetragonal

Cell lengths 7.269, 7.269, 5.583 Å; angles 90.00, 90.00, 90.00 degrees
Atoms (fractional coordinates):
Sr 0.180 0.320 0.000
Sr 0.320 0.820 0.000
Sr 0.680 0.180 0.000
Sr 0.820 0.680 0.000
Mg 0.150 0.650 0.500
Mg 0.350 0.150 0.500
Mg 0.650 0.850 0.500
Mg 0.850 0.350 0.500
Ni 0.000 0.000 0.500
Ni 0.500 0.500 0.500

---

Most stable structure among those shown: run B.